[1]
Below is an optimized crystal structure of Rb2TiFeI6, with properties calculated at the PBE level.

Cell lengths 8.069, 8.069, 8.069 Å; angles 60.00, 60.00, 60.00 degrees
Element x y z (fractional)
Rb1 0.250 0.250 0.250
Rb2 0.750 0.750 0.750
Ti1 0.000 0.000 0.000
Fe1 0.500 0.500 0.500
I1 0.250 0.250 0.750
I2 0.250 0.750 0.250
I3 0.250 0.750 0.750
I4 0.750 0.250 0.250
I5 0.750 0.250 0.750
I6 0.750 0.750 0.250

Results
Its total energy is -3.461 eV per atom. The volume is 371.4 Å³ per cell. The value obtained for the formation energy without anion corrections is -0.701 eV per atom. The symmetry is No. 225.


[2]
Below is an optimized crystal structure of Zr2InMo, with properties calculated at the PBE level.

Cell lengths 10.715, 10.715, 10.715 Å; angles 157.81, 157.81, 31.59 degrees
Element x y z (fractional)
Zr1 0.114 0.625 0.989
Zr2 0.375 0.364 0.489
Zr3 0.636 0.125 0.011
Zr4 0.875 0.886 0.511
In1 0.250 0.750 0.500
In2 0.500 0.500 0.000
Mo1 0.000 0.000 0.000
Mo2 0.750 0.250 0.500

Results
Its total energy is -7.092 eV per atom. For the energy relative to the elements, the calculation gives 0.575 eV per atom. The volume is 175.4 Å³ per cell. The symmetry is No. 122.


[3]
Below is an optimized crystal structure of Cs2LiScCl6, with properties calculated at the PBE level.

Cell lengths 12.890, 12.890, 12.890 Å; angles 33.49, 33.49, 33.49 degrees
Element x y z (fractional)
Cs1 0.126 0.126 0.126
Cs2 0.289 0.289 0.289
Cs3 0.711 0.711 0.711
Cs4 0.874 0.874 0.874
Li1 0.412 0.412 0.412
Li2 0.588 0.588 0.588
Sc1 0.000 0.000 0.000
Sc2 0.500 0.500 0.500
Cl1 0.149 0.613 0.613
Cl2 0.200 0.200 0.719
Cl3 0.200 0.719 0.200
Cl4 0.281 0.800 0.800
Cl5 0.387 0.387 0.851
Cl6 0.387 0.851 0.387
Cl7 0.613 0.149 0.613
Cl8 0.613 0.613 0.149
Cl9 0.719 0.200 0.200
Cl10 0.800 0.281 0.800
Cl11 0.800 0.800 0.281
Cl12 0.851 0.387 0.387

Results
Its total energy is -4.173 eV per atom. The volume is 580.6 Å³ per cell. The value obtained for the formation energy without anion corrections is -2.070 eV per atom. The symmetry is No. 166.


[4]
Below is an optimized crystal structure of AlFeAgC2, with properties calculated at the PBE level.

Cell lengths 3.897, 3.897, 4.763 Å; angles 90.00, 90.00, 90.00 degrees
Element x y z (fractional)
Al1 0.000 0.000 0.000
Fe1 0.000 0.000 0.500
Ag1 0.500 0.500 0.500
C1 0.000 0.500 0.000
C2 0.500 0.000 0.000

Results
Its total energy is -4.802 eV per atom. For the energy relative to the elements, the calculation gives 1.899 eV per atom. The volume is 72.3 Å³ per cell. The symmetry is No. 123.